# 1
VASP calculation (PBE) on a geometry-optimized PaAl2Au2 structure.

Computed properties:
relative energy among the computed polymorphs	0.040	eV per atom
DOS(E_F)	9.22	states/eV/cell
formation enthalpy at 0 K	-0.439	eV/atom
density	11.31	g/cm³

Cell and atoms, written as CIF:
```
data_PaAl2Au2
_space_group_name_H-M_alt 'I 4/m m m'
_space_group_IT_number 139
_space_group_name_Hall '-I 4 2'
_cell_length_a 4.207
_cell_length_b 4.207
_cell_length_c 11.268
_cell_angle_alpha 90.00
_cell_angle_beta 90.00
_cell_angle_gamma 90.00
loop_
_atom_site_label
_atom_site_fract_x
_atom_site_fract_y
_atom_site_fract_z
Pa1 0.000 0.000 0.000
Al1 0.000 0.500 0.250
Au1 0.000 0.000 0.381
```



# 2
VASP calculation (PBE) on a geometry-optimized PaAlAu3 structure.

Computed properties:
relative energy among the computed polymorphs	0.000	eV per atom
DOS(E_F)	16.60	states/eV/cell
formation enthalpy at 0 K	-0.355	eV/atom
density	14.01	g/cm³

Cell and atoms, written as CIF:
```
data_PaAlAu3
_space_group_name_H-M_alt 'C 1 2/m 1'
_space_group_IT_number 12
_cell_length_a 12.402
_cell_length_b 6.093
_cell_length_c 5.327
_cell_angle_alpha 90.00
_cell_angle_beta 90.06
_cell_angle_gamma 90.00
loop_
_space_group_symop_operation_xyz
'x,y,z'
'-x,-y,-z'
'-x,y,-z'
'x,-y,z'
'x+1/2,y+1/2,z'
'-x+1/2,-y+1/2,-z'
'-x+1/2,y+1/2,-z'
'x+1/2,-y+1/2,z'
loop_
_atom_site_label
_atom_site_fract_x
_atom_site_fract_y
_atom_site_fract_z
Pa1 0.128 0.000 0.250
Al1 0.000 0.500 0.000
Al2 0.000 0.500 0.500
Au1 0.130 0.245 0.750
Au2 0.182 0.500 0.251
```



# 3
VASP calculation (PBE) on a geometry-optimized PaAl11Au structure.

Computed properties:
DOS(E_F)	15.24	states/eV/cell
formation enthalpy at 0 K	-0.115	eV/atom
density	5.31	g/cm³

Cell and atoms, written as CIF:
```
data_PaAl11Au
_space_group_name_H-M_alt 'C 1 2/m 1'
_space_group_IT_number 12
_cell_length_a 5.386
_cell_length_b 12.714
_cell_length_c 7.051
_cell_angle_alpha 90.00
_cell_angle_beta 110.19
_cell_angle_gamma 90.00
loop_
_space_group_symop_operation_xyz
'x,y,z'
'-x,-y,-z'
'-x,y,-z'
'x,-y,z'
'x+1/2,y+1/2,z'
'-x+1/2,-y+1/2,-z'
'-x+1/2,y+1/2,-z'
'x+1/2,-y+1/2,z'
loop_
_atom_site_label
_atom_site_fract_x
_atom_site_fract_y
_atom_site_fract_z
Pa1 0.000 0.000 0.000
Al1 0.000 0.000 0.500
Al2 0.106 0.393 0.212
Al3 0.156 0.180 0.350
Al4 0.250 0.250 0.000
Au1 0.000 0.500 0.500
```



# 4
VASP calculation (PBE) on a geometry-optimized PaAlAu structure.

Computed properties:
DOS(E_F)	11.25	states/eV/cell
formation enthalpy at 0 K	-0.410	eV/atom
density	12.30	g/cm³

Cell and atoms, written as CIF:
```
data_PaAlAu
_space_group_name_H-M_alt 'P n m a'
_space_group_IT_number 62
_cell_length_a 7.696
_cell_length_b 3.972
_cell_length_c 8.036
_cell_angle_alpha 90.00
_cell_angle_beta 90.00
_cell_angle_gamma 90.00
loop_
_space_group_symop_operation_xyz
'x,y,z'
'-x,-y,-z'
'-x+1/2,-y,z+1/2'
'x+1/2,y,-z+1/2'
'x+1/2,-y+1/2,-z+1/2'
'-x+1/2,y+1/2,z+1/2'
'-x,y+1/2,-z'
'x,-y+1/2,z'
loop_
_atom_site_label
_atom_site_fract_x
_atom_site_fract_y
_atom_site_fract_z
Pa1 0.019 0.250 0.130
Al1 0.144 0.250 0.572
Au1 0.194 0.750 0.367
```



# 5
VASP calculation (PBE) on a geometry-optimized PaAl3Au structure.

Computed properties:
relative energy among the computed polymorphs	0.000	eV per atom
DOS(E_F)	5.19	states/eV/cell
formation enthalpy at 0 K	-0.314	eV/atom
density	8.62	g/cm³

Cell and atoms, written as CIF:
```
data_PaAl3Au
_space_group_name_H-M_alt 'P 4 m m'
_space_group_IT_number 99
_cell_length_a 4.158
_cell_length_b 4.158
_cell_length_c 5.672
_cell_angle_alpha 90.00
_cell_angle_beta 90.00
_cell_angle_gamma 90.00
loop_
_space_group_symop_operation_xyz
'x,y,z'
'-y,x,z'
'-x,-y,z'
'y,-x,z'
'-x,y,z'
'y,x,z'
'x,-y,z'
'-y,-x,z'
loop_
_atom_site_label
_atom_site_fract_x
_atom_site_fract_y
_atom_site_fract_z
Pa1 0.000 0.000 0.000
Al1 0.000 0.500 0.521
Al2 0.500 0.500 0.811
Au1 0.500 0.500 0.242
```



# 6
VASP calculation (PBE) on a geometry-optimized PaAlPdAu structure.

Computed properties:
DOS(E_F)	18.27	states/eV/cell
formation enthalpy at 0 K	-0.493	eV/atom
density	11.75	g/cm³

Cell and atoms, written as CIF:
```
data_PaAlPdAu
_space_group_name_H-M_alt 'F -4 3 m'
_space_group_IT_number 216
_space_group_name_Hall 'F -4 2 3'
_cell_length_a 6.822
_cell_length_b 6.822
_cell_length_c 6.822
_cell_angle_alpha 90.00
_cell_angle_beta 90.00
_cell_angle_gamma 90.00
loop_
_atom_site_label
_atom_site_fract_x
_atom_site_fract_y
_atom_site_fract_z
Pa1 0.000 0.000 0.000
Al1 0.000 0.000 0.500
Pd1 0.250 0.250 0.250
Au1 0.250 0.250 0.750
```



# 7
VASP calculation (PBE) on a geometry-optimized Pa2Al4Pd3Au structure.

Computed properties:
DOS(E_F)	7.74	states/eV/cell
formation enthalpy at 0 K	-0.615	eV/atom
density	9.62	g/cm³

Cell and atoms, written as CIF:
```
data_Pa2Al4Pd3Au
_space_group_name_H-M_alt 'P -4 m 2'
_space_group_IT_number 115
_cell_length_a 4.244
_cell_length_b 4.244
_cell_length_c 10.406
_cell_angle_alpha 90.00
_cell_angle_beta 90.00
_cell_angle_gamma 90.00
loop_
_space_group_symop_operation_xyz
'x,y,z'
'y,-x,-z'
'-x,-y,z'
'-y,x,-z'
'-x,y,z'
'-y,-x,-z'
'x,-y,z'
'y,x,-z'
loop_
_atom_site_label
_atom_site_fract_x
_atom_site_fract_y
_atom_site_fract_z
Pa1 0.000 0.500 0.247
Al1 0.000 0.000 0.000
Al2 0.000 0.500 0.634
Al3 0.500 0.500 0.000
Pd1 0.000 0.500 0.867
Pd2 0.500 0.500 0.500
Au1 0.000 0.000 0.500
```



# 8
VASP calculation (PBE) on a geometry-optimized PmPaAlAu structure.

Computed properties:
DOS(E_F)	31.32	states/eV/cell
formation enthalpy at 0 K	-0.156	eV/atom
density	10.08	g/cm³

Cell and atoms, written as CIF:
```
data_PmPaAlAu
_space_group_name_H-M_alt 'F -4 3 m'
_space_group_IT_number 216
_space_group_name_Hall 'F -4 2 3'
_cell_length_a 7.339
_cell_length_b 7.339
_cell_length_c 7.339
_cell_angle_alpha 90.00
_cell_angle_beta 90.00
_cell_angle_gamma 90.00
loop_
_atom_site_label
_atom_site_fract_x
_atom_site_fract_y
_atom_site_fract_z
Pm1 0.000 0.000 0.000
Pa1 0.000 0.000 0.500
Al1 0.250 0.250 0.750
Au1 0.250 0.250 0.250
```



# 9
VASP calculation (PBE) on a geometry-optimized PaAlPtAu structure.

Computed properties:
DOS(E_F)	18.92	states/eV/cell
formation enthalpy at 0 K	-0.637	eV/atom
density	13.58	g/cm³

Cell and atoms, written as CIF:
```
data_PaAlPtAu
_space_group_name_H-M_alt 'F -4 3 m'
_space_group_IT_number 216
_space_group_name_Hall 'F -4 2 3'
_cell_length_a 6.825
_cell_length_b 6.825
_cell_length_c 6.825
_cell_angle_alpha 90.00
_cell_angle_beta 90.00
_cell_angle_gamma 90.00
loop_
_atom_site_label
_atom_site_fract_x
_atom_site_fract_y
_atom_site_fract_z
Pa1 0.000 0.000 0.000
Al1 0.000 0.000 0.500
Pt1 0.250 0.250 0.250
Au1 0.250 0.250 0.750
```



# 10
VASP calculation (PBE) on a geometry-optimized Pa2Al4PtAu3 structure.

Computed properties:
DOS(E_F)	5.16	states/eV/cell
formation enthalpy at 0 K	-0.581	eV/atom
density	11.63	g/cm³

Cell and atoms, written as CIF:
```
data_Pa2Al4PtAu3
_space_group_name_H-M_alt 'P -4 m 2'
_space_group_IT_number 115
_cell_length_a 4.341
_cell_length_b 4.341
_cell_length_c 10.272
_cell_angle_alpha 90.00
_cell_angle_beta 90.00
_cell_angle_gamma 90.00
loop_
_space_group_symop_operation_xyz
'x,y,z'
'y,-x,-z'
'-x,-y,z'
'-y,x,-z'
'-x,y,z'
'-y,-x,-z'
'x,-y,z'
'y,x,-z'
loop_
_atom_site_label
_atom_site_fract_x
_atom_site_fract_y
_atom_site_fract_z
Pa1 0.000 0.500 0.242
Al1 0.000 0.000 0.500
Al2 0.000 0.500 0.872
Al3 0.500 0.500 0.500
Pt1 0.500 0.500 0.000
Au1 0.000 0.000 0.000
Au2 0.000 0.500 0.634
```



# 11
VASP calculation (PBE) on a geometry-optimized PuPaAlAu structure.

Computed properties:
DOS(E_F)	12.38	states/eV/cell
formation enthalpy at 0 K	0.051	eV/atom
density	13.19	g/cm³

Cell and atoms, written as CIF:
```
data_PuPaAlAu
_space_group_name_H-M_alt 'A m m 2'
_space_group_IT_number 38
_cell_length_a 5.544
_cell_length_b 3.034
_cell_length_c 10.461
_cell_angle_alpha 90.00
_cell_angle_beta 90.00
_cell_angle_gamma 90.00
loop_
_space_group_symop_operation_xyz
'x,y,z'
'-x,-y,z'
'-x,y,z'
'x,-y,z'
'x,y+1/2,z+1/2'
'-x,-y+1/2,z+1/2'
'-x,y+1/2,z+1/2'
'x,-y+1/2,z+1/2'
loop_
_atom_site_label
_atom_site_fract_x
_atom_site_fract_y
_atom_site_fract_z
Pu1 0.000 0.000 0.000
Pa1 0.000 0.000 0.742
Al1 0.500 0.000 0.875
Au1 0.500 0.000 0.597
```



# 12
VASP calculation (PBE) on a geometry-optimized PaAlSiAu structure.

Computed properties:
DOS(E_F)	7.46	states/eV/cell
density	9.39	g/cm³
E_form (uncorrected)	-0.271	eV/atom

Cell and atoms, written as CIF:
```
data_PaAlSiAu
_space_group_name_H-M_alt 'I m m 2'
_space_group_IT_number 44
_cell_length_a 3.676
_cell_length_b 4.434
_cell_length_c 10.486
_cell_angle_alpha 90.00
_cell_angle_beta 90.00
_cell_angle_gamma 90.00
loop_
_space_group_symop_operation_xyz
'x,y,z'
'-x,-y,z'
'-x,y,z'
'x,-y,z'
'x+1/2,y+1/2,z+1/2'
'-x+1/2,-y+1/2,z+1/2'
'-x+1/2,y+1/2,z+1/2'
'x+1/2,-y+1/2,z+1/2'
loop_
_atom_site_label
_atom_site_fract_x
_atom_site_fract_y
_atom_site_fract_z
Pa1 0.000 0.000 0.000
Al1 0.000 0.500 0.214
Si1 0.000 0.000 0.551
Au1 0.000 0.000 0.317
```



# 13
VASP calculation (PBE) on a geometry-optimized PaAlTcAu structure.

Computed properties:
DOS(E_F)	24.44	states/eV/cell
formation enthalpy at 0 K	-0.143	eV/atom
density	12.00	g/cm³

Cell and atoms, written as CIF:
```
data_PaAlTcAu
_space_group_name_H-M_alt 'F -4 3 m'
_space_group_IT_number 216
_space_group_name_Hall 'F -4 2 3'
_cell_length_a 6.740
_cell_length_b 6.740
_cell_length_c 6.740
_cell_angle_alpha 90.00
_cell_angle_beta 90.00
_cell_angle_gamma 90.00
loop_
_atom_site_label
_atom_site_fract_x
_atom_site_fract_y
_atom_site_fract_z
Pa1 0.000 0.000 0.000
Al1 0.000 0.000 0.500
Tc1 0.250 0.250 0.250
Au1 0.250 0.250 0.750
```